Compound: LiMnHg2F8
Source: the Alexandria database
Functional: PBE with a Hubbard U
Structure: optimized geometry

Computed properties:
Energy in eV/f.u.: -47.2
Spin magnetization in μB/f.u.: 4.0
Density in g/cm³: 6.06

abc: 6.487 6.487 8.015
angles: 90.00 90.00 90.00
Space group I-4m2 (No. 119)
Asymmetric unit:
Li: 0.000 0.000 0.000 x2
Mn: 0.000 0.500 0.250 x2
Hg: 0.000 0.000 0.500 x2
Hg: 0.000 0.500 0.750 x2
F: 0.000 0.209 0.281 x8
F: 0.000 0.305 0.976 x8